<one>
PBE DyIn3Ni2, relaxed; SG = No. 12
1.0
8.991 -2.197 0.000
8.991 2.197 0.000
-4.669 0.000 9.178
Dy In Ni
3 9 6
Direct
0.000 0.000 0.000
0.168 0.168 0.682
0.832 0.832 0.318
0.025 0.025 0.327
0.211 0.211 0.392
0.321 0.321 0.061
0.372 0.372 0.829
0.500 0.500 0.500
0.628 0.628 0.171
0.679 0.679 0.939
0.789 0.789 0.608
0.975 0.975 0.673
0.201 0.201 0.130
0.374 0.374 0.565
0.481 0.481 0.170
0.519 0.519 0.830
0.626 0.626 0.435
0.799 0.799 0.870

<two>
PBE DyIn3Ni2, relaxed; SG = No. 63
1.0
4.715 -4.430 0.000
4.715 4.430 0.000
0.000 0.000 5.618
Dy In Ni
2 6 4
Direct
0.101 0.899 0.750
0.899 0.101 0.250
0.069 0.596 0.250
0.404 0.931 0.250
0.456 0.544 0.750
0.544 0.456 0.250
0.596 0.069 0.750
0.931 0.404 0.750
0.259 0.259 0.000
0.259 0.259 0.500
0.741 0.741 0.000
0.741 0.741 0.500

<two> comes first in stability; the runner-up is 0.053 eV/atom higher.

<one>
PBE Dy4InNi, relaxed; SG = No. 216
1.0
0.000 6.782 6.782
6.782 0.000 6.782
6.782 6.782 0.000
Dy In Ni
16 4 4
Direct
0.187 0.187 0.813
0.187 0.813 0.187
0.187 0.813 0.813
0.402 0.402 0.402
0.402 0.402 0.795
0.402 0.795 0.402
0.562 0.562 0.938
0.562 0.938 0.562
0.562 0.938 0.938
0.795 0.402 0.402
0.813 0.187 0.187
0.813 0.187 0.813
0.813 0.813 0.187
0.938 0.562 0.562
0.938 0.562 0.938
0.938 0.938 0.562
0.168 0.168 0.168
0.168 0.168 0.497
0.168 0.497 0.168
0.497 0.168 0.168
0.178 0.607 0.607
0.607 0.178 0.607
0.607 0.607 0.178
0.607 0.607 0.607

<two>
PBE Dy4InNi, relaxed; SG = No. 14
1.0
7.174 0.000 0.000
0.000 7.227 0.000
-0.575 0.000 6.776
Dy In Ni
8 2 2
Direct
0.142 0.173 0.187
0.142 0.327 0.687
0.317 0.641 0.097
0.317 0.859 0.597
0.683 0.141 0.403
0.683 0.359 0.903
0.858 0.673 0.313
0.858 0.827 0.813
0.500 0.000 0.000
0.500 0.500 0.500
0.000 0.000 0.500
0.000 0.500 0.000

<one> comes first in stability; the runner-up is 0.222 eV/atom higher.

<one>
PBE Dy3InO6, relaxed; SG = No. 36
1.0
4.480 -5.615 0.000
4.480 5.615 0.000
0.000 0.000 5.598
Dy In O
6 2 12
Direct
0.100 0.900 0.500
0.198 0.410 0.554
0.410 0.198 0.054
0.590 0.802 0.554
0.802 0.590 0.054
0.900 0.100 0.000
0.317 0.683 0.069
0.683 0.317 0.569
0.068 0.601 0.276
0.142 0.179 0.276
0.179 0.142 0.776
0.281 0.719 0.711
0.399 0.932 0.276
0.475 0.525 0.276
0.525 0.475 0.776
0.601 0.068 0.776
0.719 0.281 0.211
0.821 0.858 0.276
0.858 0.821 0.776
0.932 0.399 0.776

<two>
PBE Dy3InO6, relaxed; SG = No. 148
1.0
4.797 2.769 3.719
-4.797 2.769 3.719
0.000 -5.539 3.719
Dy In O
6 2 12
Direct
0.059 0.752 0.567
0.248 0.433 0.941
0.433 0.941 0.248
0.567 0.059 0.752
0.752 0.567 0.059
0.941 0.248 0.433
0.000 0.000 0.000
0.500 0.500 0.500
0.033 0.687 0.902
0.098 0.967 0.313
0.188 0.430 0.591
0.313 0.098 0.967
0.409 0.812 0.570
0.430 0.591 0.188
0.570 0.409 0.812
0.591 0.188 0.430
0.687 0.902 0.033
0.812 0.570 0.409
0.902 0.033 0.687
0.967 0.313 0.098

<two> comes first in stability; the runner-up is 0.050 eV/atom higher.

<one>
PBE Dy3InOs, relaxed; SG = No. 69
1.0
0.000 4.809 8.133
3.279 0.000 8.133
3.279 4.809 0.000
Dy In Os
6 2 2
Direct
0.197 0.579 0.421
0.201 0.201 0.799
0.421 0.803 0.197
0.579 0.197 0.803
0.799 0.799 0.201
0.803 0.421 0.579
0.210 0.790 0.790
0.790 0.210 0.210
0.250 0.250 0.250
0.750 0.750 0.750

<two>
PBE Dy3InOs, relaxed; SG = No. 12
1.0
6.485 -2.635 0.000
6.485 2.635 0.000
-3.518 0.000 7.730
Dy In Os
6 2 2
Direct
0.069 0.069 0.235
0.225 0.225 0.733
0.410 0.410 0.127
0.590 0.590 0.873
0.775 0.775 0.267
0.931 0.931 0.765
0.374 0.374 0.497
0.626 0.626 0.503
0.178 0.178 0.025
0.822 0.822 0.975

<one> comes first in stability; the runner-up is 0.112 eV/atom higher.

<one>
PBE DyPuInOs, relaxed; SG = No. 216
1.0
0.000 3.565 3.565
3.565 0.000 3.565
3.565 3.565 0.000
Dy Pu In Os
1 1 1 1
Direct
0.000 0.000 0.000
0.500 0.500 0.500
0.250 0.250 0.250
0.750 0.750 0.750

<two>
PBE DyPuInOs, relaxed; SG = No. 99
1.0
3.297 0.000 0.000
0.000 3.297 0.000
0.000 0.000 8.508
Dy Pu In Os
1 1 1 1
Direct
0.000 0.000 0.000
0.000 0.000 0.587
0.500 0.500 0.292
0.500 0.500 0.791

<two> comes first in stability; the runner-up is 0.183 eV/atom higher.

<one>
PBE TbDyInOs, relaxed; SG = No. 99
1.0
3.433 0.000 0.000
0.000 3.433 0.000
0.000 0.000 8.055
Tb Dy In Os
1 1 1 1
Direct
0.000 0.000 0.000
0.000 0.000 0.588
0.500 0.500 0.295
0.500 0.500 0.793

<two>
PBE TbDyInOs, relaxed; SG = No. 216
1.0
0.000 3.572 3.572
3.572 0.000 3.572
3.572 3.572 0.000
Tb Dy In Os
1 1 1 1
Direct
0.000 0.000 0.000
0.500 0.500 0.500
0.750 0.750 0.750
0.250 0.250 0.250

<one> comes first in stability; the runner-up is 0.119 eV/atom higher.